No. 1
{
  "formula": "RbCuSb2Se4",
  "functional": "PBE",
  "state": "optimized geometry",
  "lattice": [[4.194, 0.000, 0.000], [-2.097, 7.110, 0.000], [0.000, 0.000, 14.994]],
  "species": ["Cu", "Se", "Se", "Cu", "Sb", "Sb", "Se", "Sb", "Se", "Se", "Rb", "Rb", "Sb", "Se", "Se", "Se"],
  "fractional_positions": [[0.162, 0.324, 0.250], [0.000, 0.000, 0.000], [0.261, 0.522, 0.393], [0.838, 0.676, 0.750], [0.366, 0.732, 0.943], [0.634, 0.268, 0.057], [0.584, 0.168, 0.250], [0.634, 0.268, 0.443], [0.739, 0.478, 0.607], [0.416, 0.832, 0.750], [0.106, 0.211, 0.750], [0.894, 0.789, 0.250], [0.366, 0.732, 0.557], [0.261, 0.522, 0.107], [0.000, 0.000, 0.500], [0.739, 0.478, 0.893]],
  "volume_a3_per_atom": 27.9,
  "density_g_cm3": 5.26,
  "m_tot_mub_per_cell": 0.00,
  "formation_energy_uncorrected_mev_per_atom": -440
}

No. 2
{
  "formula": "Nd4CoCuI2",
  "functional": "PBE",
  "state": "optimized geometry",
  "lattice": [[4.172, 0.000, 0.000], [0.000, 7.202, 0.131], [0.000, -2.533, 8.029]],
  "species": ["I", "Co", "Nd", "Cu", "Nd", "I", "Nd", "Nd"],
  "fractional_positions": [[0.000, 0.500, 0.500], [0.500, 0.500, 0.000], [0.000, 0.719, 0.184], [0.000, 0.000, 0.000], [0.500, 0.749, 0.814], [0.500, 0.000, 0.500], [0.000, 0.281, 0.816], [0.500, 0.251, 0.186]],
  "volume_a3_per_atom": 30.3,
  "density_g_cm3": 6.52,
  "m_tot_mub_per_cell": 0.00,
  "formation_energy_uncorrected_mev_per_atom": -552
}